# 1
Material: Mg4Sn2Pb
Method: DFT, PBE
State: relaxed Values from VASP.

Cell and atoms, written as Quantum ESPRESSO input:
```
&SYSTEM
  ibrav = 0, nat = 14, ntyp = 3
/
ATOMIC_SPECIES
Pb 207.20 Pb.upf
Sn 118.71 Sn.upf
Mg 24.30 Mg.upf
CELL_PARAMETERS angstrom
-5.047 -0.662 5.804
1.252 -6.963 -3.090
6.674 2.854 2.629
ATOMIC_POSITIONS angstrom
Pb -1.491 -3.264 3.466
Pb 0.000 0.000 0.000
Sn 4.448 -4.324 1.431
Sn 0.470 -3.930 -0.233
Sn 2.002 -1.388 3.469
Sn -1.162 0.102 6.021
Mg 4.606 0.428 3.088
Mg -1.927 -5.467 1.222
Mg 0.557 -2.585 5.795
Mg 2.522 -1.917 0.583
Mg 3.003 -5.442 -0.923
Mg 2.032 0.242 5.962
Mg 1.461 -4.185 2.564
Mg -0.738 -0.156 3.084
```

Summary:
VASP energy ... -2.643 eV per atom
Crystal system ... tetragonal

# 2
Material: Mg4SnPb
Method: DFT, PBE
State: relaxed Values from VASP.

Cell and atoms, written as Quantum ESPRESSO input:
```
&SYSTEM
  ibrav = 0, nat = 6, ntyp = 3
/
ATOMIC_SPECIES
Pb 207.20 Pb.upf
Sn 118.71 Sn.upf
Mg 24.30 Mg.upf
CELL_PARAMETERS angstrom
3.330 0.000 0.963
1.775 5.267 0.101
-0.580 -1.059 8.244
ATOMIC_POSITIONS angstrom
Pb 2.262 2.104 4.654
Sn 0.000 0.000 0.000
Mg 1.358 2.409 1.543
Mg 2.709 4.886 3.110
Mg 3.167 1.799 7.765
Mg 1.816 -0.678 6.197
```

Summary:
VASP energy ... -2.416 eV per atom
Crystal system ... monoclinic

# 3
Material: Mg2SnPb2
Method: DFT, PBE
State: relaxed Values from VASP.

Cell and atoms, written as Quantum ESPRESSO input:
```
&SYSTEM
  ibrav = 0, nat = 5, ntyp = 3
/
ATOMIC_SPECIES
Mg 24.30 Mg.upf
Pb 207.20 Pb.upf
Sn 118.71 Sn.upf
CELL_PARAMETERS angstrom
-2.596 3.436 0.183
-0.636 -0.254 -4.255
-7.733 -3.096 -0.842
ATOMIC_POSITIONS angstrom
Mg -4.993 -0.879 -3.567
Mg -5.973 0.965 -1.348
Pb -2.879 0.623 -1.790
Pb -8.087 -0.537 -3.125
Sn 0.000 0.000 0.000
```

Summary:
VASP energy ... -2.783 eV per atom
Crystal system ... tetragonal

# 4
Material: Mg2Sn2Pb
Method: DFT, PBE
State: relaxed Values from VASP.

Cell and atoms, written as Quantum ESPRESSO input:
```
&SYSTEM
  ibrav = 0, nat = 5, ntyp = 3
/
ATOMIC_SPECIES
Pb 207.20 Pb.upf
Sn 118.71 Sn.upf
Mg 24.30 Mg.upf
CELL_PARAMETERS angstrom
4.764 0.000 0.000
0.000 4.764 0.000
2.382 2.382 6.127
ATOMIC_POSITIONS angstrom
Pb 0.000 0.000 0.000
Sn 4.765 4.765 4.726
Sn 2.382 2.382 1.401
Mg 2.382 4.764 3.064
Mg 4.764 2.382 3.064
```

Summary:
VASP energy ... -2.996 eV per atom
Crystal system ... tetragonal

# 5
Material: MgSnPb2
Method: DFT, PBE
State: relaxed Values from VASP.

Cell and atoms, written as Quantum ESPRESSO input:
```
&SYSTEM
  ibrav = 0, nat = 8, ntyp = 3
/
ATOMIC_SPECIES
Pb 207.20 Pb.upf
Sn 118.71 Sn.upf
Mg 24.30 Mg.upf
CELL_PARAMETERS angstrom
4.524 -1.970 4.355
0.440 5.575 2.580
0.285 -1.054 8.713
ATOMIC_POSITIONS angstrom
Pb 3.748 -0.923 10.358
Pb 4.035 2.071 6.999
Pb 1.501 3.473 5.291
Pb 1.214 0.479 8.649
Sn 3.843 -1.131 6.977
Sn 1.405 3.682 8.671
Mg 2.177 0.469 4.535
Mg 3.071 2.081 11.113
```

Summary:
VASP energy ... -3.235 eV per atom
Crystal system ... triclinic

# 6
Material: Mg5Sn4Pb
Method: DFT, PBE
State: relaxed Values from VASP.

Cell and atoms, written as Quantum ESPRESSO input:
```
&SYSTEM
  ibrav = 0, nat = 10, ntyp = 3
/
ATOMIC_SPECIES
Pb 207.20 Pb.upf
Mg 24.30 Mg.upf
Sn 118.71 Sn.upf
CELL_PARAMETERS angstrom
-1.731 -2.201 1.937
-0.461 -2.017 -2.704
17.896 -10.119 4.499
ATOMIC_POSITIONS angstrom
Pb 0.000 0.000 0.000
Mg 11.386 -9.167 2.755
Mg 14.910 -11.159 3.641
Mg 4.318 -5.170 0.978
Mg 7.852 -7.169 1.866
Mg 0.794 -3.178 0.092
Sn 3.638 -2.057 0.915
Sn 7.171 -4.055 1.803
Sn 10.725 -6.064 2.696
Sn 14.258 -8.062 3.585
```

Summary:
VASP energy ... -2.882 eV per atom
Crystal system ... tetragonal